Record 1
Compound: Li2DyThSi2
Source: the Alexandria database
Functional: PBE-GGA
Structure: relaxed

Uncorrected formation energy (eV per atom): -0.527
Crystal system: trigonal

```
Li2DyThSi2
1.0
4.401 0.000 0.000
-2.200 3.811 0.000
0.000 0.000 7.275
Li Dy Th Si
2 1 1 2
Direct
0.333 0.667 0.287
0.667 0.333 0.713
0.000 0.000 0.500
0.000 0.000 0.000
0.333 0.667 0.743
0.667 0.333 0.257
```



Record 2
Compound: NdDy2Sn2Hg2
Source: the Alexandria database
Functional: PBE-GGA
Structure: relaxed

Crystal system: trigonal
Formation enthalpy at 0 K (eV/atom): -0.347

```
NdDy2Sn2Hg2
1.0
2.500 1.444 8.963
-2.500 1.444 8.963
0.000 -2.887 8.963
Nd Dy Sn Hg
1 2 2 2
Direct
0.000 0.000 0.000
0.132 0.132 0.132
0.868 0.868 0.868
0.268 0.268 0.268
0.732 0.732 0.732
0.434 0.434 0.434
0.566 0.566 0.566
```



Record 3
Compound: Cs2ZnSiI
Source: the Alexandria database
Functional: PBE-GGA
Structure: relaxed

Uncorrected formation energy (eV per atom): 0.200
Crystal system: tetragonal

```
Cs2ZnSiI
1.0
7.343 0.000 0.000
0.000 7.343 0.000
0.000 0.000 6.611
Cs Zn Si I
2 1 1 1
Direct
0.000 0.500 0.000
0.500 0.000 0.000
0.000 0.000 0.500
0.500 0.500 0.500
0.000 0.000 0.000
```



Record 4
Compound: TiNi
Source: the Alexandria database
Functional: PBE-GGA
Structure: relaxed

Crystal system: cubic
Formation enthalpy at 0 K (eV/atom): 0.649

```
TiNi
1.0
0.000 2.678 2.678
2.678 0.000 2.678
2.678 2.678 0.000
Ti Ni
1 1
Direct
0.000 0.000 0.000
0.750 0.750 0.750
```



Record 5
Compound: Sm3Dy3Sc2
Source: the Alexandria database
Functional: PBE-GGA
Structure: relaxed

Offset from the most stable computed form (meV per atom): 0
Crystal system: orthorhombic
Formation enthalpy at 0 K (eV/atom): 0.041

```
Sm3Dy3Sc2
1.0
4.959 0.000 0.000
0.000 4.984 0.000
0.000 0.000 9.839
Sm Dy Sc
3 3 2
Direct
0.000 0.000 0.000
0.000 0.000 0.500
0.500 0.500 0.000
0.000 0.500 0.251
0.000 0.500 0.749
0.500 0.500 0.500
0.500 0.000 0.251
0.500 0.000 0.749
```



Record 6
Compound: VP
Source: the Alexandria database
Functional: PBE-GGA
Structure: relaxed

Crystal system: cubic
Formation enthalpy at 0 K (eV/atom): -0.060

```
VP
1.0
0.000 2.717 2.717
2.717 0.000 2.717
2.717 2.717 0.000
V P
1 1
Direct
0.000 0.000 0.000
0.250 0.250 0.250
```



Record 7
Compound: HfTaNb4
Source: the Alexandria database
Functional: PBE-GGA
Structure: relaxed

Offset from the most stable computed form (meV per atom): 0
Crystal system: triclinic
Formation enthalpy at 0 K (eV/atom): 0.013

```
HfTaNb4
1.0
3.340 0.000 0.000
-1.571 5.281 0.000
-0.057 -2.131 6.392
Hf Ta Nb
1 1 4
Direct
0.000 0.000 0.000
0.000 0.000 0.500
0.329 0.653 0.171
0.329 0.656 0.657
0.671 0.344 0.343
0.671 0.347 0.829
```



Record 8
Compound: Yb2ZnPb
Source: the Alexandria database
Functional: PBE-GGA
Structure: relaxed

Crystal system: cubic
Formation enthalpy at 0 K (eV/atom): -0.486

```
Yb2ZnPb
1.0
0.000 3.763 3.763
3.763 0.000 3.763
3.763 3.763 0.000
Yb Zn Pb
2 1 1
Direct
0.250 0.250 0.250
0.750 0.750 0.750
0.000 0.000 0.000
0.500 0.500 0.500
```



Record 9
Compound: SrPa2AsS8
Source: the Alexandria database
Functional: PBE-GGA
Structure: relaxed

Uncorrected formation energy (eV per atom): -1.114
Crystal system: monoclinic

```
SrPa2AsS8
1.0
6.108 0.000 0.000
0.000 8.333 0.000
-0.341 0.000 6.193
Sr Pa As S
1 2 1 8
Direct
0.000 0.000 0.000
0.500 0.254 0.500
0.500 0.746 0.500
0.000 0.500 0.000
0.242 0.286 0.157
0.242 0.714 0.157
0.261 0.500 0.650
0.284 0.000 0.636
0.716 0.000 0.364
0.739 0.500 0.350
0.758 0.286 0.843
0.758 0.714 0.843
```



Record 10
Compound: Cs12Mg3F5
Source: the Alexandria database
Functional: PBE-GGA
Structure: relaxed

Uncorrected formation energy (eV per atom): -1.158
Crystal system: cubic

```
Cs12Mg3F5
1.0
-10.179 10.179 10.179
10.179 -10.179 10.179
10.179 10.179 -10.179
Cs Mg F
48 12 20
Direct
0.003 0.188 0.108
0.003 0.315 0.895
0.080 0.688 0.685
0.080 0.892 0.395
0.105 0.608 0.420
0.105 0.997 0.685
0.108 0.003 0.188
0.108 0.605 0.920
0.185 0.188 0.580
0.185 0.497 0.605
0.188 0.108 0.003
0.188 0.580 0.185
0.312 0.315 0.920
0.312 0.497 0.392
0.315 0.895 0.003
0.315 0.920 0.312
0.392 0.312 0.497
0.392 0.580 0.895
0.395 0.080 0.892
0.395 0.815 0.503
0.420 0.105 0.608
0.420 0.815 0.812
0.497 0.392 0.312
0.497 0.605 0.185
0.503 0.395 0.815
0.503 0.608 0.688
0.580 0.185 0.188
0.580 0.895 0.392
0.605 0.185 0.497
0.605 0.920 0.108
0.608 0.420 0.105
0.608 0.688 0.503
0.685 0.080 0.688
0.685 0.105 0.997
0.688 0.503 0.608
0.688 0.685 0.080
0.812 0.420 0.815
0.812 0.892 0.997
0.815 0.503 0.395
0.815 0.812 0.420
0.892 0.395 0.080
0.892 0.997 0.812
0.895 0.003 0.315
0.895 0.392 0.580
0.920 0.108 0.605
0.920 0.312 0.315
0.997 0.685 0.105
0.997 0.812 0.892
0.125 0.250 0.375
0.125 0.375 0.750
0.250 0.375 0.125
0.250 0.875 0.625
0.375 0.125 0.250
0.375 0.750 0.125
0.625 0.250 0.875
0.625 0.875 0.750
0.750 0.125 0.375
0.750 0.625 0.875
0.875 0.625 0.250
0.875 0.750 0.625
0.000 0.000 0.000
0.000 0.000 0.500
0.000 0.500 0.000
0.000 0.500 0.500
0.125 0.750 0.875
0.125 0.875 0.250
0.250 0.125 0.875
0.250 0.625 0.375
0.375 0.250 0.625
0.375 0.625 0.750
0.500 0.000 0.000
0.500 0.000 0.500
0.500 0.500 0.000
0.500 0.500 0.500
0.625 0.375 0.250
0.625 0.750 0.375
0.750 0.375 0.625
0.750 0.875 0.125
0.875 0.125 0.750
0.875 0.250 0.125
```



Record 11
Compound: ThZn8Ni4
Source: the Alexandria database
Functional: PBE-GGA
Structure: relaxed

Crystal system: tetragonal
Formation enthalpy at 0 K (eV/atom): -0.259

```
ThZn8Ni4
1.0
-4.339 4.339 2.528
4.339 -4.339 2.528
4.339 4.339 -2.528
Th Zn Ni
1 8 4
Direct
0.000 0.000 0.000
0.000 0.348 0.348
0.000 0.652 0.652
0.275 0.500 0.775
0.348 0.000 0.348
0.500 0.275 0.775
0.500 0.725 0.225
0.652 0.000 0.652
0.725 0.500 0.225
0.000 0.000 0.500
0.000 0.500 0.000
0.500 0.000 0.000
0.500 0.500 0.500
```



Record 12
Compound: TbPa2B
Source: the Alexandria database
Functional: PBE-GGA
Structure: relaxed

Crystal system: trigonal
Formation enthalpy at 0 K (eV/atom): 0.178

```
TbPa2B
1.0
1.709 0.987 9.444
-1.709 0.987 9.444
0.000 -1.973 9.444
Tb Pa B
1 2 1
Direct
0.000 0.000 0.000
0.114 0.114 0.114
0.886 0.886 0.886
0.500 0.500 0.500
```